## PuAlC2 (PBE)

Data for a relaxed PuAlC2 crystal.

Lattice parameters (Å, degrees): 3.6622 3.6622 6.0348 72.34 72.34 60.00
Site moments in Bohr magnetons follow the coordinates.
Fractional positions:
Pu (0.5000, 0.5000, 0.5000)  3.44
C (0.1108, 0.1108, 0.6675)  -0.16
C (0.8892, 0.8892, 0.3325)  -0.16
Al (0.0000, 0.0000, 0.0000)  -0.01

Summary:
* symmetry: R-3m, No. 166
* calculated total energy: -34.19 eV per cell
* Fermi-level density of states: 7.08 states/eV/f.u.
* total magnetic moment: 3.0 μB per cell